SmLuCdCo | PBE | optimized geometry

abc: 5.035 5.035 5.035
angles: 60.00 60.00 60.00
Last column: magnetic moment on the atom in μB.
Positions (direct):
Lu: 0.000 0.000 0.000  -0.17
Co: 0.250 0.250 0.250  0.99
Sm: 0.500 0.500 0.500  -0.13
Cd: 0.750 0.750 0.750  -0.01

The formation enthalpy at 0 K is -0.122 eV/atom. The theoretical density is 9137 kg/m³. The magnetic moment is 0.113 μB/atom.

YLuCdCo | PBE | optimized geometry

abc: 4.984 4.984 4.984
angles: 60.00 60.00 60.00
Last column: magnetic moment on the atom in μB.
Positions (direct):
Y: 0.000 0.000 0.000  -0.12
Lu: 0.500 0.500 0.500  -0.15
Co: 0.750 0.750 0.750  1.02
Cd: 0.250 0.250 0.250  -0.01

The formation enthalpy at 0 K is -0.161 eV/atom. The theoretical density is 8253 kg/m³. The magnetic moment is 0.135 μB/atom.

Mg6Cd2Co | PBE | optimized geometry

abc: 3.132 8.138 8.670
angles: 117.99 101.25 90.00
Last column: magnetic moment on the atom in μB.
Positions (direct):
Mg: 0.833 0.018 0.676  0.00
Mg: 0.167 0.342 0.324  0.00
Mg: 0.167 0.982 0.324  0.00
Mg: 0.500 0.275 0.000  -0.01
Mg: 0.833 0.658 0.676  0.00
Mg: 0.500 0.725 0.000  -0.01
Cd: 0.337 0.338 0.677  -0.01
Cd: 0.663 0.662 0.323  -0.01
Co: 0.000 0.000 0.000  1.17

The formation enthalpy at 0 K is 0.088 eV/atom. The theoretical density is 3749 kg/m³. The magnetic moment is 0.107 μB/atom.

MgCdCo | PBE | optimized geometry

abc: 3.935 5.048 5.977
angles: 95.36 109.22 90.00
Last column: magnetic moment on the atom in μB.
Positions (direct):
Co: 0.764 0.109 0.529  1.28
Co: 0.236 0.891 0.471  1.28
Cd: 0.571 0.764 0.142  -0.01
Cd: 0.429 0.236 0.858  -0.01
Mg: 0.857 0.648 0.714  -0.01
Mg: 0.143 0.352 0.286  -0.01

The formation enthalpy at 0 K is 0.135 eV/atom. The theoretical density is 5825 kg/m³. The magnetic moment is 0.400 μB/atom. As for the energy above the most stable polymorph in this dataset: 0 meV per atom.

Mg4CdCo | PBE | optimized geometry

abc: 5.121 7.055 7.993
angles: 116.19 108.37 89.98
Last column: magnetic moment on the atom in μB.
Positions (direct):
Mg: 0.831 0.330 0.659  -0.01
Mg: 0.623 0.370 0.247  -0.01
Mg: 0.000 0.203 0.000  -0.01
Mg: 0.377 0.123 0.753  -0.01
Mg: 0.169 0.670 0.341  -0.01
Mg: 0.377 0.630 0.753  -0.01
Mg: 0.000 0.797 0.000  -0.01
Mg: 0.623 0.877 0.247  -0.01
Cd: 0.193 0.193 0.386  0.00
Cd: 0.807 0.807 0.614  0.00
Co: 0.722 0.500 0.000  0.92
Co: 0.278 0.500 0.000  0.92

The formation enthalpy at 0 K is -0.018 eV/atom. The theoretical density is 3676 kg/m³. The magnetic moment is 0.130 μB/atom. As for the energy above the most stable polymorph in this dataset: 0 meV per atom.

MgCdCo | PBE | optimized geometry

abc: 4.344 4.344 4.344
angles: 60.00 60.00 60.00
Last column: magnetic moment on the atom in μB.
Positions (direct):
Cd: 0.500 0.500 0.500  -0.02
Co: 0.250 0.250 0.250  0.57
Mg: 0.000 0.000 0.000  -0.01

The formation enthalpy at 0 K is 0.379 eV/atom. The theoretical density is 5603 kg/m³. The magnetic moment is 0.156 μB/atom. As for the energy above the most stable polymorph in this dataset: 245 meV per atom.